Below is crystalline Nd3Ge7 at its relaxed geometry, with properties calculated at the PBE level.

Cell: 12.6579 12.6579 4.3013 Å, 90.00 90.00 161.05°
Fractional positions:
Nd 0.0000 0.0000 0.0000
Nd 0.1815 0.8185 0.0000
Nd 0.8185 0.1815 0.0000
Ge 0.0919 0.9081 0.5000
Ge 0.2821 0.7179 0.5000
Ge 0.4085 0.5915 0.0000
Ge 0.5000 0.5000 0.5000
Ge 0.5915 0.4085 0.0000
Ge 0.7179 0.2821 0.5000
Ge 0.9081 0.0919 0.5000

Values from the calculation:
M_tot in μB per formula unit: 0.0
E_tot in eV/cell: -52.0
Calculated volume in A^3/atom: 22.38

Below is crystalline Nd5Ge4 at its relaxed geometry, with properties calculated at the PBE level.

Cell: 7.9323 15.2141 8.0348 Å, 90.00 90.00 90.00°
Fractional positions:
Nd 0.0199 0.1017 0.1796
Nd 0.0199 0.3983 0.1796
Nd 0.1243 0.6152 0.3402
Nd 0.1243 0.8848 0.3402
Nd 0.2097 0.2500 0.5026
Nd 0.2903 0.7500 0.0026
Nd 0.3757 0.1152 0.8402
Nd 0.3757 0.3848 0.8402
Nd 0.4801 0.6017 0.6796
Nd 0.4801 0.8983 0.6796
Nd 0.5199 0.1017 0.3204
Nd 0.5199 0.3983 0.3204
Nd 0.6243 0.6152 0.1598
Nd 0.6243 0.8848 0.1598
Nd 0.7097 0.2500 0.9974
Nd 0.7903 0.7500 0.4974
Nd 0.8757 0.1152 0.6598
Nd 0.8757 0.3848 0.6598
Nd 0.9801 0.6017 0.8204
Nd 0.9801 0.8983 0.8204
Ge 0.0831 0.2500 0.8906
Ge 0.1796 0.7500 0.6338
Ge 0.2188 0.0444 0.5347
Ge 0.2188 0.4556 0.5347
Ge 0.2812 0.5444 0.0347
Ge 0.2812 0.9556 0.0347
Ge 0.3204 0.2500 0.1338
Ge 0.4169 0.7500 0.3906
Ge 0.5831 0.2500 0.6094
Ge 0.6796 0.7500 0.8662
Ge 0.7188 0.0444 0.9653
Ge 0.7188 0.4556 0.9653
Ge 0.7812 0.5444 0.4653
Ge 0.7812 0.9556 0.4653
Ge 0.8204 0.2500 0.3662
Ge 0.9169 0.7500 0.1094

Values from the calculation:
M_tot in μB per formula unit: 0.2
E_tot in eV/cell: -198.3
Calculated volume in A^3/atom: 26.93